1.
{
  "formula": "LiCa3Pd",
  "functional": "GGA-PBE",
  "state": "relaxed",
  "de_polymorph_ev_per_fu": 0.238,
  "dft_energy_ev_per_cell": -14.4,
  "spacegroup": "Pm-3m (221)",
  "rho_g_cm3": 2.168,
  "ef_ev_per_atom": -0.25,
  "lattice": [[5.635, 0.000, 0.000], [0.000, 5.635, 0.000], [0.000, 0.000, 5.635]],
  "species": ["Li", "Ca", "Ca", "Ca", "Pd"],
  "fractional_positions": [[0.000, 0.000, 0.000], [0.000, 0.500, 0.500], [0.500, 0.000, 0.500], [0.500, 0.500, 0.000], [0.500, 0.500, 0.500]]
}

2.
{
  "formula": "LiCa5Pd2",
  "functional": "GGA-PBE",
  "state": "relaxed",
  "dft_energy_ev_per_cell": -25.2,
  "spacegroup": "Immm (71)",
  "rho_g_cm3": 2.785,
  "ef_ev_per_atom": -0.36,
  "lattice": [[-2.121, 3.816, 7.739], [2.121, -3.816, 7.739], [2.121, 3.816, -7.739]],
  "species": ["Li", "Ca", "Ca", "Ca", "Ca", "Ca", "Pd", "Pd"],
  "fractional_positions": [[0.000, 0.000, 0.000], [0.090, 0.346, 0.743], [0.397, 0.654, 0.743], [0.500, 0.000, 0.500], [0.603, 0.346, 0.257], [0.910, 0.654, 0.257], [0.310, 0.810, 0.500], [0.690, 0.190, 0.500]]
}

3.
{
  "formula": "Li2CaPd",
  "functional": "GGA-PBE",
  "state": "relaxed",
  "de_polymorph_ev_per_fu": 0.342,
  "dft_energy_ev_per_cell": -12.1,
  "spacegroup": "P4/mmm (123)",
  "rho_g_cm3": 3.268,
  "ef_ev_per_atom": -0.28,
  "lattice": [[4.135, 0.000, 0.000], [0.000, 4.135, 0.000], [0.000, 0.000, 4.767]],
  "species": ["Li", "Li", "Ca", "Pd"],
  "fractional_positions": [[0.000, 0.500, 0.000], [0.500, 0.000, 0.000], [0.000, 0.000, 0.500], [0.500, 0.500, 0.500]]
}